LiZn2B5H20 | PBE-GGA | optimized geometry

Lattice parameters (Å, degrees): 9.675 9.675 15.575 90.00 90.00 129.44
Fractional coordinates of all 112 atoms:
B 0.373 0.627 0.092
B 0.347 0.123 0.098
B 0.877 0.653 0.098
B 0.754 0.246 0.176
B 0.950 0.050 0.186
B 0.450 0.550 0.314
B 0.254 0.746 0.324
B 0.377 0.153 0.402
B 0.847 0.623 0.402
B 0.873 0.127 0.408
B 0.127 0.873 0.592
B 0.153 0.377 0.598
B 0.623 0.847 0.598
B 0.746 0.254 0.676
B 0.550 0.450 0.686
B 0.050 0.950 0.814
B 0.246 0.754 0.824
B 0.123 0.347 0.902
B 0.653 0.877 0.902
B 0.627 0.373 0.908
H 0.230 0.087 0.045
H 0.913 0.770 0.045
H 0.256 0.493 0.054
H 0.507 0.744 0.054
H 0.424 0.077 0.065
H 0.923 0.576 0.065
H 0.954 0.046 0.108
H 0.431 0.281 0.115
H 0.719 0.569 0.115
H 0.306 0.694 0.117
H 0.425 0.575 0.147
H 0.658 0.094 0.148
H 0.906 0.342 0.148
H 0.290 0.042 0.169
H 0.958 0.710 0.169
H 0.685 0.315 0.174
H 0.046 0.210 0.205
H 0.790 0.954 0.205
H 0.010 0.990 0.229
H 0.249 0.751 0.243
H 0.749 0.251 0.257
H 0.510 0.490 0.271
H 0.290 0.454 0.295
H 0.546 0.710 0.295
H 0.185 0.815 0.326
H 0.458 0.210 0.331
H 0.790 0.542 0.331
H 0.158 0.594 0.352
H 0.406 0.842 0.352
H 0.925 0.075 0.353
H 0.806 0.194 0.383
H 0.219 0.069 0.385
H 0.931 0.781 0.385
H 0.454 0.546 0.392
H 0.423 0.076 0.435
H 0.924 0.577 0.435
H 0.007 0.244 0.446
H 0.756 0.993 0.446
H 0.413 0.270 0.455
H 0.730 0.587 0.455
H 0.270 0.413 0.545
H 0.587 0.730 0.545
H 0.244 0.007 0.554
H 0.993 0.756 0.554
H 0.076 0.423 0.565
H 0.577 0.924 0.565
H 0.546 0.454 0.608
H 0.069 0.219 0.615
H 0.781 0.931 0.615
H 0.194 0.806 0.617
H 0.075 0.925 0.647
H 0.594 0.158 0.648
H 0.842 0.406 0.648
H 0.210 0.458 0.669
H 0.542 0.790 0.669
H 0.815 0.185 0.674
H 0.454 0.290 0.705
H 0.710 0.546 0.705
H 0.490 0.510 0.729
H 0.251 0.749 0.743
H 0.751 0.249 0.757
H 0.990 0.010 0.771
H 0.210 0.046 0.795
H 0.954 0.790 0.795
H 0.315 0.685 0.826
H 0.042 0.290 0.831
H 0.710 0.958 0.831
H 0.094 0.658 0.852
H 0.342 0.906 0.852
H 0.575 0.425 0.853
H 0.694 0.306 0.883
H 0.281 0.431 0.885
H 0.569 0.719 0.885
H 0.046 0.954 0.892
H 0.077 0.424 0.935
H 0.576 0.923 0.935
H 0.493 0.256 0.946
H 0.744 0.507 0.946
H 0.087 0.230 0.955
H 0.770 0.913 0.955
Li 0.650 0.350 0.056
Li 0.150 0.850 0.444
Li 0.850 0.150 0.556
Li 0.350 0.650 0.944
Zn 0.066 0.934 0.126
Zn 0.347 0.653 0.230
Zn 0.847 0.153 0.270
Zn 0.566 0.434 0.374
Zn 0.434 0.566 0.626
Zn 0.153 0.847 0.730
Zn 0.653 0.347 0.770
Zn 0.934 0.066 0.874

**Uncorrected energy**: -3.8571 eV/atom
**Distance to the lowest polymorph of the same formula**: 19 meV/atom

=====

NaZn2B5H20 | PBE-GGA | optimized geometry

Lattice parameters (Å, degrees): 8.693 16.382 8.981 90.00 110.84 90.00
Fractional coordinates of all 112 atoms:
B 0.435 0.288 0.026
B 0.297 0.581 0.082
B 0.271 0.901 0.131
B 0.795 0.905 0.146
B 0.986 0.684 0.227
B 0.014 0.184 0.273
B 0.205 0.405 0.354
B 0.729 0.401 0.369
B 0.703 0.081 0.418
B 0.565 0.788 0.474
B 0.435 0.212 0.526
B 0.297 0.919 0.582
B 0.271 0.599 0.631
B 0.795 0.595 0.646
B 0.986 0.816 0.727
B 0.014 0.316 0.773
B 0.205 0.095 0.854
B 0.729 0.099 0.869
B 0.703 0.419 0.918
B 0.565 0.712 0.974
H 0.774 0.359 0.003
H 0.395 0.542 0.034
H 0.836 0.870 0.041
H 0.413 0.361 0.050
H 0.355 0.876 0.058
H 0.144 0.936 0.058
H 0.187 0.533 0.071
H 0.674 0.944 0.075
H 0.574 0.259 0.080
H 0.952 0.712 0.088
H 0.358 0.250 0.095
H 0.606 0.719 0.121
H 0.224 0.839 0.186
H 0.087 0.218 0.191
H 0.870 0.200 0.206
H 0.378 0.609 0.212
H 0.943 0.613 0.212
H 0.919 0.940 0.230
H 0.357 0.951 0.231
H 0.756 0.859 0.239
H 0.244 0.359 0.261
H 0.643 0.451 0.269
H 0.081 0.440 0.270
H 0.057 0.113 0.288
H 0.622 0.109 0.288
H 0.130 0.700 0.294
H 0.913 0.718 0.309
H 0.776 0.339 0.314
H 0.394 0.219 0.379
H 0.642 0.750 0.405
H 0.048 0.212 0.412
H 0.426 0.759 0.420
H 0.326 0.444 0.425
H 0.813 0.033 0.429
H 0.856 0.436 0.442
H 0.645 0.376 0.442
H 0.587 0.861 0.450
H 0.164 0.370 0.459
H 0.605 0.042 0.466
H 0.226 0.859 0.497
H 0.774 0.141 0.503
H 0.395 0.958 0.534
H 0.836 0.630 0.541
H 0.413 0.139 0.550
H 0.355 0.624 0.558
H 0.144 0.564 0.558
H 0.187 0.967 0.571
H 0.674 0.556 0.575
H 0.574 0.241 0.580
H 0.952 0.788 0.588
H 0.358 0.250 0.595
H 0.606 0.781 0.621
H 0.224 0.661 0.686
H 0.087 0.282 0.691
H 0.870 0.300 0.706
H 0.378 0.891 0.712
H 0.943 0.887 0.712
H 0.919 0.560 0.730
H 0.357 0.549 0.731
H 0.756 0.641 0.739
H 0.244 0.141 0.761
H 0.643 0.049 0.769
H 0.081 0.060 0.770
H 0.057 0.387 0.788
H 0.622 0.391 0.788
H 0.130 0.800 0.794
H 0.913 0.782 0.809
H 0.776 0.161 0.814
H 0.394 0.281 0.879
H 0.642 0.750 0.905
H 0.048 0.288 0.912
H 0.426 0.741 0.920
H 0.326 0.056 0.925
H 0.813 0.467 0.929
H 0.856 0.064 0.942
H 0.645 0.124 0.942
H 0.587 0.639 0.950
H 0.164 0.130 0.959
H 0.605 0.458 0.966
H 0.226 0.641 0.997
Na 0.799 0.064 0.173
Na 0.201 0.564 0.327
Na 0.799 0.436 0.673
Na 0.201 0.936 0.827
Zn 0.644 0.376 0.118
Zn 0.797 0.774 0.125
Zn 0.203 0.274 0.375
Zn 0.356 0.876 0.382
Zn 0.644 0.124 0.618
Zn 0.797 0.726 0.625
Zn 0.203 0.226 0.875
Zn 0.356 0.624 0.882

**Uncorrected energy**: -3.8617 eV/atom

=====

ZnBPH2O6 | PBE-GGA | optimized geometry

Lattice parameters (Å, degrees): 8.993 8.901 10.497 90.00 90.00 90.00
Fractional coordinates of all 88 atoms:
B 0.743 0.475 0.079
B 0.757 0.975 0.079
B 0.257 0.475 0.421
B 0.243 0.975 0.421
B 0.757 0.025 0.579
B 0.743 0.525 0.579
B 0.243 0.025 0.921
B 0.257 0.525 0.921
H 0.963 0.093 0.113
H 0.537 0.593 0.113
H 0.662 0.101 0.229
H 0.838 0.601 0.229
H 0.338 0.101 0.271
H 0.162 0.601 0.271
H 0.037 0.093 0.387
H 0.463 0.593 0.387
H 0.537 0.407 0.613
H 0.963 0.907 0.613
H 0.838 0.399 0.729
H 0.662 0.899 0.729
H 0.162 0.399 0.771
H 0.338 0.899 0.771
H 0.463 0.407 0.887
H 0.037 0.907 0.887
O 0.244 0.442 0.043
O 0.256 0.942 0.043
O 0.762 0.313 0.055
O 0.738 0.813 0.055
O 0.077 0.236 0.122
O 0.423 0.736 0.122
O 0.594 0.499 0.130
O 0.906 0.999 0.130
O 0.641 0.014 0.170
O 0.859 0.514 0.170
O 0.352 0.234 0.172
O 0.148 0.734 0.172
O 0.648 0.234 0.328
O 0.852 0.734 0.328
O 0.359 0.014 0.330
O 0.141 0.514 0.330
O 0.406 0.499 0.370
O 0.094 0.999 0.370
O 0.923 0.236 0.378
O 0.577 0.736 0.378
O 0.238 0.313 0.445
O 0.262 0.813 0.445
O 0.756 0.442 0.457
O 0.744 0.942 0.457
O 0.256 0.058 0.543
O 0.244 0.558 0.543
O 0.738 0.187 0.555
O 0.762 0.687 0.555
O 0.423 0.264 0.622
O 0.077 0.764 0.622
O 0.906 0.001 0.630
O 0.594 0.501 0.630
O 0.859 0.486 0.670
O 0.641 0.986 0.670
O 0.148 0.266 0.672
O 0.352 0.766 0.672
O 0.852 0.266 0.828
O 0.648 0.766 0.828
O 0.141 0.486 0.830
O 0.359 0.986 0.830
O 0.094 0.001 0.870
O 0.406 0.501 0.870
O 0.577 0.264 0.878
O 0.923 0.764 0.878
O 0.262 0.187 0.945
O 0.238 0.687 0.945
O 0.744 0.058 0.957
O 0.756 0.558 0.957
P 0.233 0.272 0.072
P 0.267 0.772 0.072
P 0.767 0.272 0.428
P 0.733 0.772 0.428
P 0.267 0.228 0.572
P 0.233 0.728 0.572
P 0.733 0.228 0.928
P 0.767 0.728 0.928
Zn 0.500 0.363 0.250
Zn 0.000 0.376 0.250
Zn 0.000 0.863 0.250
Zn 0.500 0.876 0.250
Zn 0.500 0.124 0.750
Zn 0.000 0.137 0.750
Zn 0.000 0.624 0.750
Zn 0.500 0.637 0.750

**Uncorrected energy**: -6.3614 eV/atom

=====

PrBH8SO10 | PBE-GGA | optimized geometry

Lattice parameters (Å, degrees): 6.138 9.324 6.831 90.00 93.63 90.00
Fractional coordinates of all 42 atoms:
B 0.681 0.750 0.287
B 0.319 0.250 0.713
H 0.255 0.250 0.000
H 0.225 0.076 0.212
H 0.225 0.424 0.212
H 0.977 0.054 0.262
H 0.977 0.446 0.262
H 0.598 0.535 0.314
H 0.598 0.965 0.314
H 0.239 0.250 0.419
H 0.761 0.750 0.581
H 0.402 0.035 0.686
H 0.402 0.465 0.686
H 0.023 0.554 0.738
H 0.023 0.946 0.738
H 0.775 0.576 0.788
H 0.775 0.924 0.788
H 0.745 0.750 0.000
O 0.753 0.250 0.051
O 0.827 0.750 0.127
O 0.411 0.250 0.217
O 0.111 0.005 0.230
O 0.111 0.495 0.230
O 0.529 0.628 0.283
O 0.529 0.872 0.283
O 0.731 0.122 0.358
O 0.731 0.378 0.358
O 0.839 0.750 0.460
O 0.161 0.250 0.540
O 0.269 0.622 0.642
O 0.269 0.878 0.642
O 0.471 0.128 0.717
O 0.471 0.372 0.717
O 0.889 0.505 0.770
O 0.889 0.995 0.770
O 0.589 0.750 0.783
O 0.173 0.250 0.873
O 0.247 0.750 0.949
Pr 0.183 0.750 0.299
Pr 0.817 0.250 0.701
S 0.655 0.250 0.239
S 0.345 0.750 0.761

**Uncorrected energy**: -5.9823 eV/atom

=====

SmBH6SO9 | PBE-GGA | optimized geometry

Lattice parameters (Å, degrees): 6.076 6.651 8.423 81.03 76.57 87.13
Fractional coordinates of all 36 atoms:
B 0.401 0.787 0.253
B 0.599 0.213 0.747
H 0.553 0.810 0.002
H 0.351 0.513 0.186
H 0.286 0.083 0.286
H 0.159 0.419 0.404
H 0.977 0.244 0.434
H 0.441 0.786 0.490
H 0.559 0.214 0.510
H 0.023 0.756 0.566
H 0.841 0.581 0.596
H 0.714 0.917 0.714
H 0.649 0.487 0.814
H 0.447 0.190 0.998
O 0.909 0.165 0.058
O 0.587 0.829 0.107
O 0.532 0.308 0.153
O 0.865 0.469 0.190
O 0.257 0.617 0.243
O 0.230 0.952 0.276
O 0.754 0.137 0.345
O 0.524 0.743 0.385
O 0.106 0.287 0.473
O 0.894 0.713 0.527
O 0.476 0.257 0.615
O 0.246 0.863 0.655
O 0.770 0.048 0.724
O 0.743 0.383 0.757
O 0.135 0.531 0.810
O 0.468 0.692 0.847
O 0.413 0.171 0.893
O 0.091 0.835 0.942
S 0.762 0.278 0.185
S 0.238 0.722 0.815
Sm 0.902 0.809 0.233
Sm 0.098 0.191 0.767

**Uncorrected energy**: -6.1697 eV/atom

=====

Zn2BHO4 | PBE-GGA | optimized geometry

Lattice parameters (Å, degrees): 5.635 4.922 6.687 90.00 97.64 90.00
Fractional coordinates of all 16 atoms:
B 0.837 0.912 0.201
B 0.163 0.412 0.799
H 0.488 0.590 0.477
H 0.512 0.090 0.523
O 0.663 0.049 0.076
O 0.856 0.633 0.181
O 0.985 0.043 0.351
O 0.429 0.421 0.405
O 0.571 0.921 0.595
O 0.015 0.543 0.649
O 0.144 0.133 0.819
O 0.337 0.549 0.924
Zn 0.562 0.411 0.148
Zn 0.079 0.429 0.370
Zn 0.921 0.929 0.630
Zn 0.438 0.911 0.852

**Uncorrected energy**: -5.7399 eV/atom